The following is a DFT calculation (PBE-GGA) of an optimized crystal structure of InMoIr2.

a = 4.7627 Å, b = 4.7627 Å, c = 2.8889 Å
α = 90.00°, β = 90.00°, γ = 90.00°
Closest atoms and distances in Å follow each position.
Space group P4/mmm (No. 123)
Symmetry-distinct sites (fractional):
1 In 0.0000 0.0000 0.0000 x1  8 Ir 2.79, 2 In 2.89
2 Mo 0.5000 0.5000 0.0000 x1  8 Ir 2.79, 2 Mo 2.89
3 Ir 0.0000 0.5000 0.5000 x2  4 In 2.79, 4 Mo 2.79, 2 Ir 2.89

Output
Size of the total moment: 0.000 μB/cell
DFT total energy: -0.5638 Ry per atom
Energy of formation: 0.152 eV/atom